! Ca3As2H | Alexandria via LeMat-Bulk | PBE-GGA | optimized geometry; values from VASP
&SYSTEM
  ibrav = 0, nat = 6, ntyp = 3
/
ATOMIC_SPECIES
As 74.92 As.upf
H 1.01 H.upf
Ca 40.08 Ca.upf
ATOMIC_POSITIONS crystal
As 0.6480 0.6480 0.2959
As 0.3520 0.3520 0.7041
H 0.0000 0.0000 0.0000
Ca 0.8344 0.8344 0.6688
Ca 0.1656 0.1656 0.3312
Ca 0.0000 0.5000 0.0000
CELL_PARAMETERS angstrom
-0.6038 0.8794 -3.5549
-4.6600 0.1686 0.8332
3.2459 7.3448 3.2030
! Polymorph energy (0 for the lowest one) in meV/atom: 41

=====

! Ca2AsH2 | Alexandria via LeMat-Bulk | PBE-GGA | optimized geometry; values from VASP
&SYSTEM
  ibrav = 0, nat = 5, ntyp = 3
/
ATOMIC_SPECIES
Ca 40.08 Ca.upf
H 1.01 H.upf
As 74.92 As.upf
ATOMIC_POSITIONS crystal
Ca 0.5000 0.5000 0.2793
Ca 0.5000 0.5000 0.7207
H 0.5000 0.0000 0.5000
H 0.0000 0.5000 0.5000
As 0.0000 0.0000 0.0000
CELL_PARAMETERS angstrom
-0.7433 -2.0743 -2.7780
3.3585 -1.1359 -0.0504
-1.6597 -5.0958 4.2490
! Polymorph energy (0 for the lowest one) in meV/atom: 140

=====

! CaAs3H | Alexandria via LeMat-Bulk | PBE-GGA | optimized geometry; values from VASP
&SYSTEM
  ibrav = 0, nat = 5, ntyp = 3
/
ATOMIC_SPECIES
H 1.01 H.upf
Ca 40.08 Ca.upf
As 74.92 As.upf
ATOMIC_POSITIONS crystal
H 0.5000 0.5000 0.5000
Ca 0.0000 0.0000 0.0000
As 0.0000 0.5000 0.0000
As 0.5000 0.0000 0.0000
As 0.0000 0.0000 0.5000
CELL_PARAMETERS angstrom
5.4320 0.0000 0.0000
0.0000 5.4320 0.0000
0.0000 0.0000 5.4320
! Polymorph energy (0 for the lowest one) in meV/atom: 1266

=====

! Ca5As2H2 | Alexandria via LeMat-Bulk | PBE-GGA | optimized geometry; values from VASP
&SYSTEM
  ibrav = 0, nat = 9, ntyp = 3
/
ATOMIC_SPECIES
Ca 40.08 Ca.upf
As 74.92 As.upf
H 1.01 H.upf
ATOMIC_POSITIONS crystal
Ca 0.0000 0.0000 0.0000
Ca 0.6480 0.2961 0.8845
Ca 0.1584 0.3168 0.5308
Ca 0.3520 0.7039 0.1155
Ca 0.8416 0.6832 0.4692
As 0.4031 0.8062 0.7100
As 0.5969 0.1938 0.2900
H 0.1585 0.3170 0.8784
H 0.8415 0.6830 0.1216
CELL_PARAMETERS angstrom
-2.9599 1.1710 3.8252
0.0761 -6.8088 -1.0937
5.4633 1.6916 3.7096
! Raw total energy in eV/f.u.: -32.25